Here is a relaxed SrAl2Cu crystal from Alexandria via LeMat-Bulk. Energies are from GGA-PBE.

Summary:
- Total moment: 0.0 μB per formula unit
- Crystal system: tetragonal
- ΔE_f: 148 meV/atom
- Theoretical density: 3.9 g/cm³

Lattice parameters (Å, degrees): 4.257 4.257 4.793 90.00 90.00 90.00
Atoms (fractional coordinates):
1 Sr 0.000 0.500 0.500
2 Cu 0.500 0.000 0.500
3 Al 0.500 0.500 0.000
4 Al 0.000 0.000 0.000